[1]
Material: Li3AgO4
Method: DFT, PBE
State: relaxed

Cell: 5.0512 5.9189 5.1593 Å, 90.00 109.74 90.00°
Last column: nearest neighbours and their distance in Å.
Fractional positions:
Li 0.0000 0.1061 0.2500  6 O 2.03-2.20
Li 0.0000 0.3570 0.7500  6 O 2.00-2.15
Li 0.0000 0.6430 0.2500  6 O 2.00-2.15
Li 0.0000 0.8939 0.7500  6 O 2.03-2.20
Li 0.5000 0.1109 0.7500  6 O 2.04-2.16
Li 0.5000 0.8891 0.2500  6 O 2.04-2.16
Ag 0.5000 0.3694 0.2500  6 O 2.00-2.07
Ag 0.5000 0.6306 0.7500  6 O 2.00-2.07
O 0.2488 0.1341 0.0131  1 Ag 2.00, 5 Li 2.00-2.15
O 0.2488 0.8659 0.5131  1 Ag 2.00, 5 Li 2.00-2.15
O 0.2593 0.3814 0.4962  2 Ag 2.03-2.07, 4 Li 2.15-2.20
O 0.2593 0.6186 0.9962  2 Ag 2.03-2.07, 4 Li 2.15-2.20
O 0.7407 0.3814 0.0038  2 Ag 2.03-2.07, 4 Li 2.15-2.20
O 0.7407 0.6186 0.5038  2 Ag 2.03-2.07, 4 Li 2.15-2.20
O 0.7512 0.1341 0.4869  1 Ag 2.00, 5 Li 2.00-2.15
O 0.7512 0.8659 0.9869  1 Ag 2.00, 5 Li 2.00-2.15

Values from the calculation:
The value obtained for the electronic total energy is -4.534 eV per atom. Its theoretical density is 4.41 g/cm3. The energy above the lowest structure with this stoichiometry comes out at 0.000 eV/atom.

=====

[2]
Material: LiAg3O4
Method: DFT, PBE
State: relaxed

Cell: 5.8212 5.8212 5.8212 Å, 90.00 90.00 90.00°
Last column: nearest neighbours and their distance in Å.
Fractional positions:
Li 0.0000 0.0000 0.0000  4 O 2.11
Li 0.5000 0.5000 0.5000  4 O 2.11
Ag 0.0000 0.2500 0.5000  4 O 2.10
Ag 0.0000 0.7500 0.5000  4 O 2.10
Ag 0.2500 0.5000 0.0000  4 O 2.10
Ag 0.5000 0.0000 0.2500  4 O 2.10
Ag 0.5000 0.0000 0.7500  4 O 2.10
Ag 0.7500 0.5000 0.0000  4 O 2.10
O 0.2089 0.2089 0.2089  3 Ag 2.10, 1 Li 2.11
O 0.2089 0.7911 0.7911  3 Ag 2.10, 1 Li 2.11
O 0.2911 0.2911 0.7089  3 Ag 2.10, 1 Li 2.11
O 0.2911 0.7089 0.2911  3 Ag 2.10, 1 Li 2.11
O 0.7089 0.2911 0.2911  3 Ag 2.10, 1 Li 2.11
O 0.7089 0.7089 0.7089  3 Ag 2.10, 1 Li 2.11
O 0.7911 0.2089 0.7911  3 Ag 2.10, 1 Li 2.11
O 0.7911 0.7911 0.2089  3 Ag 2.10, 1 Li 2.11

Values from the calculation:
The value obtained for the electronic total energy is -4.198 eV per atom. Its theoretical density is 6.64 g/cm3.

=====

[3]
Material: LiAgO4
Method: DFT, PBE
State: relaxed

Cell: 3.3066 4.5851 4.5863 Å, 92.49 90.59 90.44°
Last column: nearest neighbours and their distance in Å.
Fractional positions:
Li 0.0000 0.0000 0.0000  6 O 1.78-1.98
Ag 0.5372 0.4974 0.4983  4 O 2.04-2.06
O 0.0300 0.3071 0.3085  1 Li 1.95, 2 Ag 2.04-2.05
O 0.0385 0.6880 0.6886  1 Li 1.98, 2 Ag 2.04-2.06
O 0.4989 0.0968 0.8960  1 O 1.33
O 0.4995 0.8935 0.0948  1 O 1.33

Values from the calculation:
The value obtained for the electronic total energy is -4.121 eV per atom. Its theoretical density is 4.27 g/cm3. The energy above the lowest structure with this stoichiometry comes out at 0.355 eV/atom.

=====

[4]
Material: Li3AgO4
Method: DFT, PBE
State: relaxed

Cell: 5.0928 11.9177 5.1921 Å, 90.00 110.36 90.00°
Last column: nearest neighbours and their distance in Å.
Fractional positions:
Li 0.0000 0.0000 0.0000  6 O 2.05-2.12
Li 0.0000 0.1127 0.5000  6 O 1.97-2.16
Li 0.0000 0.2253 0.0000  4 O 1.96-2.05
Li 0.0000 0.3485 0.5000  4 O 1.96-2.19
Li 0.0000 0.4909 0.0000  6 O 1.95-2.14
Li 0.0000 0.6312 0.5000  6 O 2.03-2.22
Li 0.0000 0.7588 0.0000  4 O 2.00-2.07
Li 0.0000 0.8845 0.5000  6 O 2.00-2.20
Li 0.5000 0.1175 0.0000  6 O 2.05-2.25
Li 0.5000 0.2301 0.5000  6 O 1.98-2.19
Li 0.5000 0.7556 0.5000  6 O 2.02-2.17
Li 0.5000 0.9991 0.5000  6 O 2.04-2.12
Ag 0.5000 0.3597 0.0000  6 O 2.00-2.16
Ag 0.5000 0.4926 0.5000  6 O 2.05-2.27
Ag 0.5000 0.6232 0.0000  6 O 2.03-2.14
Ag 0.5000 0.8760 0.0000  6 O 1.98-2.12
O 0.2319 0.4925 0.7692  1 Li 1.95, 2 Ag 2.14-2.16
O 0.2352 0.1181 0.2679  5 Li 1.96-2.05
O 0.2452 0.7480 0.7553  4 Li 2.03-2.19, 2 Ag 2.09-2.12
O 0.2465 0.2429 0.7635  5 Li 1.96-2.19, 1 Ag 2.00
O 0.2582 0.9928 0.7602  1 Ag 1.98, 5 Li 2.00-2.12
O 0.2612 0.8722 0.2405  5 Li 2.00-2.20, 1 Ag 2.02
O 0.2684 0.3676 0.2521  2 Ag 2.05, 4 Li 2.12-2.28
O 0.2677 0.6183 0.2479  2 Ag 2.03-2.07, 4 Li 2.14-2.26
O 0.7316 0.3676 0.7479  2 Ag 2.05, 4 Li 2.12-2.28
O 0.7323 0.6183 0.7521  2 Ag 2.03-2.07, 4 Li 2.14-2.26
O 0.7388 0.8722 0.7595  5 Li 2.00-2.20, 1 Ag 2.02
O 0.7418 0.9928 0.2398  1 Ag 1.98, 5 Li 2.00-2.12
O 0.7535 0.2429 0.2365  5 Li 1.96-2.19, 1 Ag 2.00
O 0.7548 0.7480 0.2447  4 Li 2.03-2.19, 2 Ag 2.09-2.12
O 0.7648 0.1181 0.7321  5 Li 1.96-2.05
O 0.7681 0.4925 0.2308  1 Li 1.95, 2 Ag 2.14-2.16

Values from the calculation:
The value obtained for the electronic total energy is -4.452 eV per atom. Its theoretical density is 4.33 g/cm3. The energy above the lowest structure with this stoichiometry comes out at 0.082 eV/atom.

=====

[5]
Material: Li6Ag2O7
Method: DFT, PBE
State: relaxed

Cell: 5.1760 5.2221 5.8416 Å, 89.72 72.35 81.52°
Last column: nearest neighbours and their distance in Å.
Fractional positions:
Li 0.2111 0.3748 0.3035  4 O 1.98-2.12
Li 0.2212 0.9199 0.5631  5 O 1.99-2.17
Li 0.2240 0.3691 0.8352  5 O 2.02-2.19
Li 0.7760 0.6309 0.1648  5 O 2.02-2.19
Li 0.7788 0.0801 0.4369  5 O 1.99-2.17
Li 0.7889 0.6252 0.6965  4 O 1.98-2.12
Ag 0.2540 0.8664 0.0640  5 O 2.01-2.10
Ag 0.7460 0.1336 0.9360  5 O 2.01-2.10
O 0.0160 0.7361 0.3697  5 Li 1.98-2.09, 1 Ag 2.02
O 0.0385 0.7424 0.8628  4 Li 2.00-2.03, 1 Ag 2.01
O 0.4944 0.9990 0.2496  4 Li 2.03-2.23, 2 Ag 2.07-2.09
O 0.5000 0.5000 0.0000  2 Ag 2.10, 4 Li 2.12-2.14
O 0.5056 0.0010 0.7504  4 Li 2.03-2.23, 2 Ag 2.07-2.09
O 0.9615 0.2576 0.1372  4 Li 2.00-2.03, 1 Ag 2.01
O 0.9840 0.2639 0.6303  5 Li 1.98-2.09, 1 Ag 2.02

Values from the calculation:
The value obtained for the electronic total energy is -4.551 eV per atom. Its theoretical density is 4.13 g/cm3.

=====

[6]
Material: LiAgO4
Method: DFT, PBE
State: relaxed

Cell: 5.1187 10.3515 11.3273 Å, 110.56 99.63 98.40°
Last column: nearest neighbours and their distance in Å.
Fractional positions:
Li 0.0000 0.0000 0.0000  3 O 1.92-2.12
Li 0.0003 0.3419 0.0558  4 O 1.92-2.02
Li 0.2403 0.3467 0.3984  4 O 1.85-1.99
Li 0.3824 0.5269 0.6849  3 O 1.87-1.99
Li 0.4185 0.9012 0.7110  3 O 1.94-2.05
Li 0.4274 0.8354 0.9694  3 O 1.87-2.06
Li 0.6169 0.5444 0.9939  3 O 1.92-2.14
Li 0.9153 0.0639 0.7218  4 O 1.95-2.15
Ag 0.3087 0.9808 0.4837  4 O 2.01-2.04
Ag 0.4636 0.1887 0.9581  4 O 2.00-2.09
Ag 0.5495 0.7159 0.4821  4 O 2.02-2.23
Ag 0.5752 0.4367 0.2289  4 O 1.96-2.05
Ag 0.7399 0.1505 0.2227  4 O 2.00-2.22
Ag 0.8364 0.4478 0.4975  4 O 1.95-2.08
Ag 0.8942 0.7032 0.7506  4 O 1.98-2.11
Ag 0.9786 0.8976 0.2168  4 O 2.00-2.03
O 0.0146 0.8108 0.0313  1 O 1.38
O 0.0233 0.9248 0.8158  1 O 1.47
O 0.1008 0.2331 0.8907  1 O 1.63
O 0.1103 0.7364 0.4353  1 O 1.32
O 0.1372 0.3160 0.7939  1 O 1.26
O 0.1381 0.3708 0.5522  2 Li 1.85-1.87, 1 Ag 1.95
O 0.1920 0.1584 0.2703  1 O 1.36
O 0.2045 0.5916 0.9359  1 O 1.25
O 0.2537 0.6628 0.8237  1 O 1.71, 1 Li 1.92
O 0.2644 0.5106 0.1748  1 O 1.90, 1 Li 1.93, 1 Ag 1.96
O 0.2770 0.0804 0.6698  1 O 1.35
O 0.3025 0.1504 0.1674  1 O 1.36
O 0.3120 0.9693 0.8828  1 O 1.47
O 0.3545 0.8956 0.3012  2 Ag 2.01, 1 O 2.19
O 0.3768 0.3847 0.8151  1 O 1.26
O 0.4866 0.6965 0.2639  1 O 1.27
O 0.5015 0.4986 0.4090  1 Li 1.86, 3 Ag 2.03-2.07
O 0.5249 0.7213 0.6724  2 Li 1.94-2.10, 2 Ag 2.01-2.16
O 0.5302 0.1524 0.7403  1 O 1.35
O 0.5437 0.1803 0.4698  1 O 1.27
O 0.6256 0.9280 0.5779  2 Li 1.95-2.05, 2 Ag 2.02-2.04
O 0.6321 0.9395 0.1386  1 Li 1.87, 2 Ag 2.00-2.02
O 0.6555 0.3940 0.0535  2 Li 1.92, 2 Ag 2.01-2.02
O 0.7054 0.6931 0.2250  1 O 1.27
O 0.7487 0.4956 0.6708  1 Li 1.97, 2 Ag 1.98-1.99
O 0.7563 0.1684 0.4274  1 O 1.27
O 0.7646 0.7228 0.9628  1 O 1.38
O 0.8051 0.1491 0.0385  2 Li 1.92-2.02, 1 Ag 2.00
O 0.8894 0.3685 0.3090  1 Li 1.99, 3 Ag 2.05-2.08
O 0.9307 0.9811 0.3983  2 Ag 2.00-2.01, 1 O 2.20
O 0.9768 0.5103 0.9087  1 O 1.25
O 0.9952 0.7291 0.5292  1 O 1.32

Values from the calculation:
The value obtained for the electronic total energy is -4.344 eV per atom. Its theoretical density is 4.40 g/cm3. The energy above the lowest structure with this stoichiometry comes out at 0.132 eV/atom.

=====

[7]
Material: Li4Ag2O5
Method: DFT, PBE
State: relaxed

Cell: 6.7642 6.7642 4.2231 Å, 90.00 90.00 143.27°
Last column: nearest neighbours and their distance in Å.
Fractional positions:
Li 0.0000 0.0000 0.0000  4 O 2.01-2.13
Li 0.1844 0.8156 0.5000  5 O 2.05-2.16
Li 0.5000 0.5000 0.5000  4 O 2.00-2.11
Li 0.8156 0.1844 0.5000  5 O 2.05-2.16
Ag 0.3368 0.6632 0.0000  6 O 2.10-2.31
Ag 0.6632 0.3368 0.0000  6 O 2.10-2.31
O 0.1567 0.8433 0.0000  3 Li 2.01-2.14, 2 Ag 2.13
O 0.3439 0.6561 0.5000  4 Li 2.00-2.16, 2 Ag 2.11
O 0.5000 0.5000 0.0000  2 Ag 2.10, 4 Li 2.11-2.13
O 0.6561 0.3439 0.5000  4 Li 2.00-2.16, 2 Ag 2.11
O 0.8433 0.1567 0.0000  3 Li 2.01-2.14, 2 Ag 2.13

Values from the calculation:
The value obtained for the electronic total energy is -4.448 eV per atom. Its theoretical density is 4.65 g/cm3.

=====

[8]
Material: LiAgO4
Method: DFT, PBE
State: relaxed

Cell: 3.7500 8.0860 8.2658 Å, 90.94 90.02 90.02°
Last column: nearest neighbours and their distance in Å.
Fractional positions:
Li 0.0049 0.2483 0.0011  8 O 1.99-2.21
Li 0.0056 0.2518 0.4997  8 O 1.99-2.22
Li 0.9944 0.7482 0.5003  8 O 1.99-2.22
Li 0.9951 0.7517 0.9989  8 O 1.99-2.21
Ag 0.4994 0.5000 0.7512  8 O 2.29-2.49
Ag 0.5004 0.9997 0.2516  8 O 2.29-2.50
Ag 0.4996 0.0003 0.7484  8 O 2.29-2.50
Ag 0.5006 0.5000 0.2488  8 O 2.29-2.49
O 0.0013 0.1653 0.7503  1 O 1.38
O 0.0018 0.3355 0.7507  1 O 1.38
O 0.0045 0.1646 0.2437  1 O 1.38
O 0.0042 0.3349 0.2561  1 O 1.38
O 0.4932 0.8362 0.5007  1 O 1.39
O 0.4937 0.6639 0.9990  1 O 1.39
O 0.4950 0.6645 0.4990  1 O 1.39
O 0.4956 0.8353 0.0009  1 O 1.39
O 0.5044 0.1647 0.9991  1 O 1.39
O 0.5050 0.3355 0.5010  1 O 1.39
O 0.5063 0.3361 0.0010  1 O 1.39
O 0.5068 0.1638 0.4993  1 O 1.39
O 0.9958 0.6651 0.7439  1 O 1.38
O 0.9955 0.8354 0.7563  1 O 1.38
O 0.9982 0.6645 0.2493  1 O 1.38
O 0.9987 0.8347 0.2497  1 O 1.38

Values from the calculation:
The value obtained for the electronic total energy is -4.476 eV per atom. Its theoretical density is 4.74 g/cm3. The energy above the lowest structure with this stoichiometry comes out at 0.000 eV/atom.

=====

[9]
Material: Li2AgO2
Method: DFT, PBE
State: relaxed

Cell: 3.4647 3.4647 5.6817 Å, 100.15 100.15 51.05°
Last column: nearest neighbours and their distance in Å.
Fractional positions:
Li 0.1700 0.1700 0.1376  4 O 1.94-2.00
Li 0.8300 0.8300 0.8624  4 O 1.94-2.00
Ag 0.5000 0.5000 0.5000  4 O 2.20
O 0.1167 0.1167 0.7811  4 Li 1.94-2.00
O 0.8833 0.8833 0.2189  4 Li 1.94-2.00

Values from the calculation:
The value obtained for the electronic total energy is -4.419 eV per atom. Its theoretical density is 4.91 g/cm3.